(1)
# BaCo3As (PBE, relaxed)
# energy above the lowest structure with this stoichiometry: 0.00 kJ per mole of atoms
# M_tot: 4.0 μB/cell
# formation energy from the elements: 1.6 eV per formula unit
data_BaCo3As
_chemical_formula_sum 'Ba1 Co3 As1'
_cell_length_a 4.614
_cell_length_b 4.614
_cell_length_c 4.614
_cell_angle_alpha 90.00
_cell_angle_beta 90.00
_cell_angle_gamma 90.00
_symmetry_space_group_name_H-M 'P m -3 m'
_symmetry_Int_Tables_number 221
_symmetry_space_group_name_Hall '-P 4 2 3'
loop_
_atom_site_label
_atom_site_type_symbol
_atom_site_fract_x
_atom_site_fract_y
_atom_site_fract_z
_atom_site_occupancy
Ba1 Ba 0.000 0.000 0.000 1
Co1 Co 0.000 0.500 0.500 1
As1 As 0.500 0.500 0.500 1

=====

(2)
# Ba2CoAs (PBE, relaxed)
# M_tot: 0.7 μB/cell
# formation energy from the elements: -1.5 eV per formula unit
data_Ba2CoAs
_chemical_formula_sum 'Ba4 Co2 As2'
_cell_length_a 4.452
_cell_length_b 4.874
_cell_length_c 11.399
_cell_angle_alpha 90.00
_cell_angle_beta 90.00
_cell_angle_gamma 90.00
_symmetry_space_group_name_H-M 'A m m 2'
_symmetry_Int_Tables_number 38
loop_
_symmetry_equiv_pos_as_xyz
'x,y,z'
'-x,-y,z'
'-x,y,z'
'x,-y,z'
'x,y+1/2,z+1/2'
'-x,-y+1/2,z+1/2'
'-x,y+1/2,z+1/2'
'x,-y+1/2,z+1/2'
loop_
_atom_site_label
_atom_site_type_symbol
_atom_site_fract_x
_atom_site_fract_y
_atom_site_fract_z
_atom_site_occupancy
Ba1 Ba 0.000 0.000 0.000 1
Ba2 Ba 0.500 0.000 0.288 1
Co1 Co 0.000 0.000 0.669 1
As1 As 0.500 0.000 0.598 1

=====

Among the records above, which one has the lowest formation energy from the elements?
Ba2CoAs

=====

The lowest M_tot belongs to which entry?
Ba2CoAs

=====

formation energy from the elements of number 1 (BaCo3As)?
1.6 eV per formula unit

=====

Among the records above, which one has the highest formation energy from the elements?
BaCo3As